Compound: Ni2SeCl
Source: Alexandria
Functional: PBE-GGA
Structure: optimized geometry

Output
The calculation puts the distance to the lowest polymorph of the same formula at 0.242 eV per atom. The density of states at the Fermi level comes out at 4.83 states/eV per cell. For the total magnetic moment, the calculation gives 0.01 μB/cell. The calculation puts the formation energy without anion corrections at 102 meV/atom. The calculation puts the density at 5.1 g/cm³.

Unit cell a=3.7883 b=3.7883 c=6.8398 alpha=90.00 beta=90.00 gamma=129.27
Fractional coordinates of all 4 atoms:
Se  0.5000  0.5000  0.2500
Cl  0.5000  0.5000  0.7500
Ni  0.0000  0.0000  0.0149
Ni  0.0000  0.0000  0.4851